The following is a DFT calculation (GGA-PBE) of Sm2AgC after structural relaxation.

The space group is R3m (No. 160, hexagonal axes) and the conventional cell measures 3.7180, 3.7180 and 22.7054 Å, with angles of 90.00, 90.00 and 120.00 degrees. The distinct sites, in fractional coordinates, are Sm at (0.0000, 0.0000, 0.0000), Sm at (0.0000, 0.0000, 0.2110), Ag at (0.0000, 0.0000, 0.4387) and C at (0.0000, 0.0000, 0.6048).

As for the excess energy over the best structure of this formula in the dataset: 0.0 meV per atom. The calculated formation energy comes out at -0.17 eV per atom.

The following is a DFT calculation (GGA-PBE) of Ba2NiSeN after structural relaxation.

The space group is P4/mmm (No. 123) and the conventional cell measures 5.7406, 5.7406 and 3.6792 Å, with angles of 90.00, 90.00 and 90.00 degrees. The distinct sites, in fractional coordinates, are Ba at (0.0000, 0.5000, 0.0000), Ni at (0.0000, 0.0000, 0.5000), Se at (0.5000, 0.5000, 0.5000) and N at (0.0000, 0.0000, 0.0000).

As for the excess energy over the best structure of this formula in the dataset: 0.0 meV per atom. For the formation energy without anion corrections, the calculation gives -4.86 eV per formula unit.

The following is a DFT calculation (GGA-PBE) of BaLaHfSi2 after structural relaxation.

The space group is P4/mmm (No. 123) and the conventional cell measures 5.1700, 5.1700 and 5.5221 Å, with angles of 90.00, 90.00 and 90.00 degrees. The distinct sites, in fractional coordinates, are Ba at (0.0000, 0.0000, 0.0000), La at (0.5000, 0.5000, 0.0000), Hf at (0.0000, 0.0000, 0.5000) and Si at (0.0000, 0.5000, 0.5000).

For the formation energy without anion corrections, the calculation gives 2.14 eV per formula unit.

The following is a DFT calculation (GGA-PBE) of Nd8Sm2Dy3 after structural relaxation.

The space group is C2/m (No. 12) and the conventional cell measures 13.4327, 11.8505 and 6.1608 Å, with angles of 90.00, 113.77 and 90.00 degrees. The distinct sites, in fractional coordinates, are Nd at (0.0842, 0.0000, 0.2602), Nd at (0.1394, 0.5000, 0.5982), Nd at (0.1635, 0.2596, 0.1582), Sm at (0.1911, 0.0000, 0.8400), Dy at (0.0000, 0.2340, 0.5000) and Dy at (0.0000, 0.5000, 0.0000).

As for the excess energy over the best structure of this formula in the dataset: 0.0 meV per atom. The calculated formation energy comes out at 0.16 eV per atom.

The following is a DFT calculation (GGA-PBE) of KLi2NbCl8 after structural relaxation.

The space group is P-1 (No. 2) and the conventional cell measures 6.2221, 6.3367 and 9.0259 Å, with angles of 89.95, 89.94 and 78.48 degrees. The distinct sites, in fractional coordinates, are K at (0.0000, 0.0000, 0.0000), Li at (0.4999, 0.5000, 0.1647), Nb at (0.0000, 0.0000, 0.5000), Cl at (0.2234, 0.2565, 0.5002), Cl at (0.2274, 0.7993, 0.6887), Cl at (0.2281, 0.8001, 0.3112) and Cl at (0.3181, 0.3214, 0.0002).

For the formation energy without anion corrections, the calculation gives -17.85 eV per formula unit.

The following is a DFT calculation (GGA-PBE) of BaAlPb2 after structural relaxation.

The space group is F-43m (No. 216) and the conventional cell measures 8.0558, 8.0558 and 8.0558 Å, with angles of 90.00, 90.00 and 90.00 degrees. The distinct sites, in fractional coordinates, are Ba at (0.0000, 0.0000, 0.0000), Al at (0.2500, 0.2500, 0.2500), Pb at (0.0000, 0.0000, 0.5000) and Pb at (0.2500, 0.2500, 0.7500).

The calculated formation energy comes out at -0.07 eV per atom.

The following is a DFT calculation (GGA-PBE) of LiLaPb2 after structural relaxation.

The space group is Imm2 (No. 44) and the conventional cell measures 4.4898, 4.5706 and 11.3572 Å, with angles of 90.00, 90.00 and 90.00 degrees. The distinct sites, in fractional coordinates, are Li at (0.0000, 0.0000, 0.0000), La at (0.0000, 0.5000, 0.2599), Pb at (0.0000, 0.0000, 0.5308) and Pb at (0.0000, 0.5000, 0.8308).

The calculated formation energy comes out at -0.37 eV per atom.

The following is a DFT calculation (GGA-PBE) of Li5AlGe2 after structural relaxation.

The space group is P6_3/mmc (No. 194) and the conventional cell measures 4.6668, 4.6668 and 16.1045 Å, with angles of 90.00, 90.00 and 120.00 degrees. The distinct sites, in fractional coordinates, are Li at (0.0000, 0.0000, 0.1396), Li at (0.3333, 0.6667, 0.0582), Li at (0.3333, 0.6667, 0.2500), Al at (0.3333, 0.6667, 0.7500) and Ge at (0.3333, 0.6667, 0.6038).

The calculated formation energy comes out at -0.20 eV per atom.

The following is a DFT calculation (GGA-PBE) of LiMgBIr2 after structural relaxation.

The space group is P4/mmm (No. 123) and the conventional cell measures 4.0923, 4.0923 and 4.1078 Å, with angles of 90.00, 90.00 and 90.00 degrees. The distinct sites, in fractional coordinates, are Li at (0.0000, 0.0000, 0.0000), Mg at (0.5000, 0.5000, 0.0000), B at (0.0000, 0.0000, 0.5000) and Ir at (0.0000, 0.5000, 0.5000).

The calculated formation energy comes out at -0.38 eV per atom.

The following is a DFT calculation (GGA-PBE) of NaSiB after structural relaxation.

The space group is P1 (No. 1) and the conventional cell measures 3.3170, 5.0319 and 6.3826 Å, with angles of 81.31, 75.13 and 70.84 degrees. The distinct sites, in fractional coordinates, are Na at (0.0000, 0.0000, 0.0000), Na at (0.1132, 0.4701, 0.2904), Si at (0.7146, 0.0050, 0.5563), Si at (0.8130, 0.5544, 0.8140), B at (0.3321, 0.7524, 0.5738) and B at (0.4701, 0.4020, 0.6496).

For the formation energy without anion corrections, the calculation gives 0.54 eV per formula unit.

The following is a DFT calculation (GGA-PBE) of Y2ZnAg2 after structural relaxation.

The space group is P4/mbm (No. 127) and the conventional cell measures 8.1966, 8.1966 and 3.7166 Å, with angles of 90.00, 90.00 and 90.00 degrees. The distinct sites, in fractional coordinates, are Y at (0.1651, 0.3349, 0.0000), Zn at (0.0000, 0.0000, 0.0000) and Ag at (0.1279, 0.6279, 0.5000).

As for the excess energy over the best structure of this formula in the dataset: 170.4 meV per atom. The calculated formation energy comes out at -0.07 eV per atom.

The following is a DFT calculation (GGA-PBE) of YMnFe after structural relaxation.

The space group is I4mm (No. 107) and the conventional cell measures 3.0432, 3.0432 and 10.9428 Å, with angles of 90.00, 90.00 and 90.00 degrees. The distinct sites, in fractional coordinates, are Y at (0.0000, 0.0000, 0.0000), Mn at (0.0000, 0.0000, 0.2965) and Fe at (0.0000, 0.0000, 0.7032).

As for the excess energy over the best structure of this formula in the dataset: 237.0 meV per atom. The calculated formation energy comes out at 0.29 eV per atom.

The following is a DFT calculation (GGA-PBE) of TbY3Th2Bi6 after structural relaxation.

The space group is C2/m (No. 12) and the conventional cell measures 19.7052, 4.5348 and 9.0339 Å, with angles of 90.00, 103.11 and 90.00 degrees. The distinct sites, in fractional coordinates, are Tb at (0.0000, 0.0000, 0.0000), Y at (0.0000, 0.0000, 0.5000), Y at (0.1671, 0.5000, 0.8340), Th at (0.1649, 0.5000, 0.3309), Bi at (0.0026, 0.5000, 0.7509), Bi at (0.1653, 0.0000, 0.5880) and Bi at (0.1664, 0.0000, 0.0770).

The calculated formation energy comes out at -0.79 eV per atom.

The following is a DFT calculation (GGA-PBE) of LiTlSi after structural relaxation.

The space group is P2_1/m (No. 11) and the conventional cell measures 5.1765, 3.7495 and 6.9578 Å, with angles of 90.00, 100.39 and 90.00 degrees. The distinct sites, in fractional coordinates, are Li at (0.1562, 0.2500, 0.1667), Tl at (0.2636, 0.7500, 0.5524) and Si at (0.3665, 0.7500, 0.9623).

For the formation energy without anion corrections, the calculation gives -0.11 eV per formula unit.

The following is a DFT calculation (GGA-PBE) of LiPuHN after structural relaxation.

The space group is F-43m (No. 216) and the conventional cell measures 5.5621, 5.5621 and 5.5621 Å, with angles of 90.00, 90.00 and 90.00 degrees. The distinct sites, in fractional coordinates, are Li at (0.0000, 0.0000, 0.0000), Pu at (0.0000, 0.0000, 0.5000), H at (0.2500, 0.2500, 0.7500) and N at (0.2500, 0.2500, 0.2500).

The following is a DFT calculation (GGA-PBE) of Zr2CuTcPt after structural relaxation.

The space group is P4/mmm (No. 123) and the conventional cell measures 4.8716, 4.8716 and 4.5757 Å, with angles of 90.00, 90.00 and 90.00 degrees. The distinct sites, in fractional coordinates, are Zr at (0.0000, 0.5000, 0.0000), Cu at (0.0000, 0.0000, 0.5000), Tc at (0.0000, 0.0000, 0.0000) and Pt at (0.5000, 0.5000, 0.5000).

The calculated formation energy comes out at 0.58 eV per atom.

The following is a DFT calculation (GGA-PBE) of KPrCuS2 after structural relaxation.

The space group is P2/c (No. 13) and the conventional cell measures 7.4871, 4.6902 and 8.1925 Å, with angles of 90.00, 101.20 and 90.00 degrees. The distinct sites, in fractional coordinates, are K at (0.0000, 0.1792, 0.2500), Pr at (0.5000, 0.4895, 0.7500), Cu at (0.5000, 0.0000, 0.0000) and S at (0.2649, 0.2949, 0.9622).

For the formation energy without anion corrections, the calculation gives -5.38 eV per formula unit.

The following is a DFT calculation (GGA-PBE) of PaGaAu after structural relaxation.

The space group is F-43m (No. 216) and the conventional cell measures 6.6205, 6.6205 and 6.6205 Å, with angles of 90.00, 90.00 and 90.00 degrees. The distinct sites, in fractional coordinates, are Pa at (0.0000, 0.0000, 0.0000), Ga at (0.0000, 0.0000, 0.5000) and Au at (0.2500, 0.2500, 0.7500).

The calculated formation energy comes out at -0.25 eV per atom.

The following is a DFT calculation (GGA-PBE) of CoMoRu2 after structural relaxation.

The space group is P2/m (No. 10) and the conventional cell measures 2.7208, 3.7126 and 5.4459 Å, with angles of 90.00, 90.10 and 90.00 degrees. The distinct sites, in fractional coordinates, are Co at (0.0000, 0.0000, 0.0000), Mo at (0.0000, 0.0000, 0.5000) and Ru at (0.5003, 0.5000, 0.2339).

As for the excess energy over the best structure of this formula in the dataset: 107.7 meV per atom. The calculated formation energy comes out at 0.11 eV per atom.

The following is a DFT calculation (GGA-PBE) of Y3AgS2 after structural relaxation.

The space group is Cmcm (No. 63) and the conventional cell measures 4.2129, 12.9903 and 10.7599 Å, with angles of 90.00, 90.00 and 90.00 degrees. The distinct sites, in fractional coordinates, are Y at (0.0000, 0.0931, 0.2500), Y at (0.0000, 0.3567, 0.0483), Ag at (0.0000, 0.2448, 0.7500), S at (0.0000, 0.0000, 0.0000) and S at (0.0000, 0.4725, 0.2500).

For the formation energy without anion corrections, the calculation gives -7.04 eV per formula unit.

The following is a DFT calculation (GGA-PBE) of RbZnS2Cl after structural relaxation.

The space group is P4/mmm (No. 123) and the conventional cell measures 6.6716, 6.6716 and 6.1716 Å, with angles of 90.00, 90.00 and 90.00 degrees. The distinct sites, in fractional coordinates, are Rb at (0.0000, 0.0000, 0.0000), Zn at (0.5000, 0.5000, 0.5000), S at (0.0000, 0.5000, 0.0000) and Cl at (0.0000, 0.0000, 0.5000).

As for the excess energy over the best structure of this formula in the dataset: 1192.8 meV per atom. For the formation energy without anion corrections, the calculation gives 3.43 eV per formula unit.

The following is a DFT calculation (GGA-PBE) of KAgAu2 after structural relaxation.

The space group is P2/m (No. 10) and the conventional cell measures 5.4666, 2.9578 and 5.5439 Å, with angles of 90.00, 107.21 and 90.00 degrees. The distinct sites, in fractional coordinates, are K at (0.0000, 0.0000, 0.0000), Ag at (0.0000, 0.5000, 0.5000), Au at (0.5000, 0.0000, 0.5000) and Au at (0.5000, 0.5000, 0.0000).

As for the excess energy over the best structure of this formula in the dataset: 194.3 meV per atom. The calculated formation energy comes out at 0.11 eV per atom.

The following is a DFT calculation (GGA-PBE) of Tl3CrAg3Br8 after structural relaxation.

The space group is C2/m (No. 12) and the conventional cell measures 14.6252, 8.4625 and 9.0810 Å, with angles of 90.00, 122.50 and 90.00 degrees. The distinct sites, in fractional coordinates, are Tl at (0.0000, 0.0000, 0.0000), Tl at (0.2500, 0.2500, 0.0000), Cr at (0.0000, 0.0000, 0.5000), Ag at (0.0000, 0.5000, 0.5000), Ag at (0.2500, 0.2500, 0.5000), Br at (0.0125, 0.2307, 0.3058), Br at (0.2186, 0.0000, 0.6945) and Br at (0.2341, 0.5000, 0.7032).

For the formation energy without anion corrections, the calculation gives -8.49 eV per formula unit.

The following is a DFT calculation (GGA-PBE) of YFeAg2 after structural relaxation.

The space group is I-42d (No. 122) and the conventional cell measures 3.9872, 3.9872 and 20.5451 Å, with angles of 90.00, 90.00 and 90.00 degrees. The distinct sites, in fractional coordinates, are Y at (0.0000, 0.0000, 0.0000), Fe at (0.0000, 0.0000, 0.5000) and Ag at (0.2306, 0.2500, 0.6250).

The calculated formation energy comes out at 0.36 eV per atom.

The following is a DFT calculation (GGA-PBE) of LaAl3Pb after structural relaxation.

The space group is Pm-3m (No. 221) and the conventional cell measures 5.6325, 5.6325 and 5.6325 Å, with angles of 90.00, 90.00 and 90.00 degrees. The distinct sites, in fractional coordinates, are La at (0.0000, 0.0000, 0.0000), Al at (0.0000, 0.0000, 0.5000) and Pb at (0.5000, 0.5000, 0.5000).

As for the excess energy over the best structure of this formula in the dataset: 424.7 meV per atom. The calculated formation energy comes out at 1.01 eV per atom.

The following is a DFT calculation (GGA-PBE) of CsZnHg2H after structural relaxation.

The space group is P4/mmm (No. 123) and the conventional cell measures 7.2960, 7.2960 and 7.1848 Å, with angles of 90.00, 90.00 and 90.00 degrees. The distinct sites, in fractional coordinates, are Cs at (0.0000, 0.0000, 0.0000), Zn at (0.0000, 0.0000, 0.5000), Hg at (0.0000, 0.5000, 0.0000) and H at (0.5000, 0.5000, 0.5000).

Short version: uncorrected energy = -5.549; -5.259; -5.102; -4.560; -3.968; -3.343; -3.931; -3.014; -5.966; -4.293; -4.049; -7.740; -5.966; -3.272; -7.593; -6.944; -4.722; -5.516; -9.010; -6.257; -1.782; -2.516; -3.143; -4.793; -2.962; -0.562 eV/atom, in the order given.